# CaZn2H

CaZn2H after structural relaxation (PBE, Alexandria).

Geometry as POSCAR:
```
CaZn2H
1.0
-2.0576 0.3359 -3.8648
-1.4724 -2.8123 3.0342
-2.3630 2.8629 1.5069
Ca Zn H
1 2 1
Direct
0.0000 0.0000 0.5000
0.3333 0.6667 0.0000
0.6667 0.3333 0.0000
0.6667 0.3333 0.5000
```

E_tot, eV per cell: -8.60
Density, g cm⁻³: 4.267
Offset from the most stable computed form, kJ per mole of atoms: 11.81

# CaZn3H9

CaZn3H9 after structural relaxation (PBE, Alexandria).

Geometry as POSCAR:
```
CaZn3H9
1.0
6.7655 0.1207 0.0000
-1.6403 6.5647 0.0000
0.0000 0.0000 7.2023
Ca Zn H
2 6 18
Direct
0.6112 0.6112 0.0000
0.3888 0.3888 0.5000
0.1288 0.8275 0.0421
0.8712 0.1725 0.5421
0.8275 0.1288 0.9579
0.1725 0.8712 0.4579
0.2499 0.2499 0.0000
0.7501 0.7501 0.5000
0.2772 0.0172 0.9275
0.7228 0.9828 0.4275
0.0172 0.2772 0.0725
0.9828 0.7228 0.5725
0.3412 0.4070 0.8260
0.6588 0.5930 0.3260
0.4070 0.3412 0.1740
0.5930 0.6588 0.6740
0.3069 0.6900 0.3134
0.6931 0.3100 0.8134
0.6900 0.3069 0.6866
0.3100 0.6931 0.1866
0.3465 0.0483 0.5399
0.6535 0.9517 0.0399
0.0483 0.3465 0.4601
0.9517 0.6535 0.9601
0.0775 0.9225 0.2500
0.9225 0.0775 0.7500
```

E_tot, eV per cell: -69.99
Density, g cm⁻³: 2.536

# Ca2ZnH

Ca2ZnH after structural relaxation (PBE, Alexandria).

Geometry as POSCAR:
```
Ca2ZnH
1.0
-0.8401 -0.5929 4.9551
-4.6042 0.8770 1.9086
-2.8352 -3.8569 1.6421
H Zn Ca
1 1 2
Direct
0.0000 0.0000 0.0000
0.5000 0.5000 0.5000
0.2500 0.2500 0.2500
0.7500 0.7500 0.7500
```

E_tot, eV per cell: -8.22
Density, g cm⁻³: 2.656
Offset from the most stable computed form, kJ per mole of atoms: 27.77

# CaZn2H

CaZn2H after structural relaxation (PBE, Alexandria).

Geometry as POSCAR:
```
CaZn2H
1.0
3.8514 0.0000 0.0000
0.0000 3.8514 0.0000
0.0000 0.0000 18.9108
Ca Zn H
4 8 4
Direct
0.0000 0.0000 0.1852
0.0000 0.0000 0.8148
0.5000 0.5000 0.6852
0.5000 0.5000 0.3148
0.0000 0.0000 0.5960
0.0000 0.0000 0.4040
0.5000 0.5000 0.0960
0.5000 0.5000 0.9040
0.0000 0.5000 0.0000
0.5000 0.0000 0.0000
0.5000 0.0000 0.5000
0.0000 0.5000 0.5000
0.0000 0.5000 0.2500
0.0000 0.5000 0.7500
0.5000 0.0000 0.7500
0.5000 0.0000 0.2500
```

E_tot, eV per cell: -35.87
Density, g cm⁻³: 4.070
Offset from the most stable computed form, kJ per mole of atoms: 2.87

# Ca2ZnH2

Ca2ZnH2 after structural relaxation (PBE, Alexandria).

Geometry as POSCAR:
```
Ca2ZnH2
1.0
3.7966 0.0000 0.0000
0.0000 3.7966 0.0000
1.8983 1.8983 6.2728
H Zn Ca
2 1 2
Direct
0.7500 0.2500 0.5000
0.2500 0.7500 0.5000
0.0000 0.0000 0.0000
0.3502 0.3502 0.2997
0.6498 0.6498 0.7003
```

E_tot, eV per cell: -13.93
Density, g cm⁻³: 2.710
Offset from the most stable computed form, kJ per mole of atoms: 0.00

# CaZn2H

CaZn2H after structural relaxation (PBE, Alexandria).

Geometry as POSCAR:
```
CaZn2H
1.0
5.0492 0.0000 0.0303
0.0000 4.3486 0.0000
-3.9415 0.0000 6.6109
Ca Zn H
2 4 2
Direct
0.9799 0.0000 0.5658
0.9799 0.5000 0.0658
0.6319 0.0000 0.7809
0.6319 0.5000 0.2809
0.5036 0.0000 0.0698
0.5036 0.5000 0.5698
0.0647 0.0000 0.9261
0.0647 0.5000 0.4261
```

E_tot, eV per cell: -17.08
Density, g cm⁻³: 3.919
Offset from the most stable computed form, kJ per mole of atoms: 13.13

# CaZn2H

CaZn2H after structural relaxation (PBE, Alexandria).

Geometry as POSCAR:
```
CaZn2H
1.0
3.7019 0.0319 -0.0080
1.5321 4.2857 0.1264
0.7318 1.1437 4.3514
Ca Zn H
1 2 1
Direct
0.5000 0.5000 0.5000
0.8620 0.8165 0.9193
0.1380 0.1835 0.0807
0.0000 0.0000 0.5000
```

E_tot, eV per cell: -8.47
Density, g cm⁻³: 4.179
Offset from the most stable computed form, kJ per mole of atoms: 14.88

# Ca2Zn2H

Ca2Zn2H after structural relaxation (PBE, Alexandria).

Geometry as POSCAR:
```
Ca2Zn2H
1.0
7.6694 0.0000 0.0000
0.0000 7.6694 0.0000
0.0000 0.0000 4.1225
H Zn Ca
2 4 4
Direct
0.0000 0.0000 0.0000
0.5000 0.5000 0.0000
0.3803 0.8803 0.0000
0.8803 0.6197 0.0000
0.6197 0.1197 0.0000
0.1197 0.3803 0.0000
0.1767 0.6767 0.5000
0.6767 0.8233 0.5000
0.8233 0.3233 0.5000
0.3233 0.1767 0.5000
```

E_tot, eV per cell: -18.23
Density, g cm⁻³: 2.903
Offset from the most stable computed form, kJ per mole of atoms: 0.00

# Ca3Zn5H12

Ca3Zn5H12 after structural relaxation (PBE, Alexandria).

Geometry as POSCAR:
```
Ca3Zn5H12
1.0
10.3817 0.0000 0.0000
-3.4606 9.7880 0.0000
-3.4606 -4.8940 8.4766
Ca Zn H
12 20 48
Direct
0.7500 0.3750 0.1250
0.8750 0.7500 0.1250
0.3750 0.7500 0.6250
0.2500 0.1250 0.3750
0.8750 0.1250 0.2500
0.3750 0.6250 0.2500
0.6250 0.3750 0.7500
0.1250 0.8750 0.7500
0.7500 0.8750 0.6250
0.6250 0.2500 0.3750
0.1250 0.2500 0.8750
0.2500 0.6250 0.8750
0.1250 0.3750 0.2500
0.0000 0.5000 0.0000
0.0000 0.0000 0.0000
0.3750 0.2500 0.1250
0.5000 0.0000 0.5000
0.5000 0.5000 0.0000
0.1250 0.7500 0.3750
0.7500 0.1250 0.8750
0.7500 0.6250 0.3750
0.3750 0.1250 0.7500
0.6250 0.8750 0.2500
0.5000 0.5000 0.5000
0.5000 0.0000 0.0000
0.0000 0.0000 0.5000
0.2500 0.3750 0.6250
0.2500 0.8750 0.1250
0.0000 0.5000 0.5000
0.8750 0.2500 0.6250
0.6250 0.7500 0.8750
0.8750 0.6250 0.7500
0.7122 0.1202 0.0240
0.3118 0.5240 0.4037
0.9760 0.3798 0.2878
0.5240 0.2122 0.1202
0.5919 0.7122 0.6882
0.9760 0.5963 0.1882
0.3118 0.7878 0.4081
0.0963 0.9081 0.1202
0.5963 0.9760 0.6882
0.7122 0.5919 0.1882
0.7878 0.4760 0.3798
0.8118 0.9037 0.0240
0.1202 0.7122 0.5240
0.3798 0.4037 0.0919
0.0919 0.9037 0.3798
0.4081 0.1202 0.5963
0.0919 0.1882 0.2122
0.4760 0.6882 0.0963
0.8118 0.9081 0.2878
0.1202 0.4081 0.0963
0.3798 0.9760 0.7878
0.5963 0.6202 0.4081
0.9037 0.8118 0.5240
0.7878 0.3118 0.9081
0.4037 0.3798 0.5919
0.0963 0.1882 0.4760
0.2122 0.6882 0.0919
0.1882 0.0919 0.7122
0.6202 0.0240 0.2122
0.8798 0.5919 0.9037
0.5240 0.3118 0.9037
0.5919 0.8798 0.4037
0.9081 0.8118 0.7878
0.9081 0.0963 0.6202
0.8798 0.2878 0.4760
0.1882 0.0963 0.9760
0.6202 0.5963 0.9081
0.4037 0.0240 0.3118
0.2878 0.4081 0.8118
0.2122 0.5240 0.6202
0.9037 0.0919 0.8798
0.6882 0.2122 0.5919
0.4760 0.7878 0.8798
0.0240 0.4037 0.8118
0.4081 0.2878 0.3118
0.0240 0.6202 0.7122
0.6882 0.4760 0.5963
0.2878 0.8798 0.9760
```

E_tot, eV per cell: -216.65
Density, g cm⁻³: 3.542

# CaZn2H

CaZn2H after structural relaxation (PBE, Alexandria).

Geometry as POSCAR:
```
CaZn2H
1.0
-0.1971 -1.4483 -4.3371
2.6577 -6.9209 2.1903
-3.5407 -1.1837 0.5561
Ca Zn H
2 4 2
Direct
0.0000 0.5000 0.5149
0.5000 0.0000 0.5149
0.0000 0.8250 0.0195
0.0000 0.1750 0.0195
0.5000 0.3250 0.0195
0.5000 0.6750 0.0195
0.0000 0.0000 0.3513
0.5000 0.5000 0.3513
```

E_tot, eV per cell: -17.17
Density, g cm⁻³: 4.275
Offset from the most stable computed form, kJ per mole of atoms: 12.10

Please write out number 5 again, unchanged.
# Ca2ZnH2

Ca2ZnH2 after structural relaxation (PBE, Alexandria).

Geometry as POSCAR:
```
Ca2ZnH2
1.0
3.7966 0.0000 0.0000
0.0000 3.7966 0.0000
1.8983 1.8983 6.2728
H Zn Ca
2 1 2
Direct
0.7500 0.2500 0.5000
0.2500 0.7500 0.5000
0.0000 0.0000 0.0000
0.3502 0.3502 0.2997
0.6498 0.6498 0.7003
```

E_tot, eV per cell: -13.93
Density, g cm⁻³: 2.710
Offset from the most stable computed form, kJ per mole of atoms: 0.00

Among the records above, which one has the lowest density?
CaZn3H9